1.
4
Lattice="3.7626 0.0000 0.0000 0.0000 3.7626 0.0000 0.0000 0.0000 6.5151" Properties=species:S:1:pos:R:3 comment="TiHgSb2 GGA-PBE relaxed" magmom_total_mub_per_cell=0.00 dos_ef_per_ev_cell=3.48 formation_energy_uncorrected_ev_per_atom=-0.093 vol_a3_per_atom=23.058 pbc="T T T"
Ti 0.0000 0.0000 0.0000
Hg 0.0000 0.0000 3.2576
Sb 1.8813 1.8813 1.4369
Sb 1.8813 1.8813 5.0782

2.
12
Lattice="3.2077 0.0000 0.0000 -1.6039 2.7780 0.0000 0.0000 0.0000 29.3996" Properties=species:S:1:pos:R:3 comment="LiLaCr2 GGA-PBE relaxed" magmom_total_mub_per_cell=22.89 dos_ef_per_ev_cell=11.18 ef_ev_per_atom=0.850 vol_a3_per_atom=21.832 pbc="T T T"
Li 0.0000 0.0000 0.0000
Li 0.0000 1.8520 19.5997
Li 1.6039 0.9260 9.7998
La 0.0000 0.0000 14.6998
La 0.0000 1.8520 4.8999
La 1.6039 0.9260 24.4996
Cr 0.0000 0.0000 7.5133
Cr 0.0000 0.0000 21.8863
Cr 0.0000 1.8520 12.0865
Cr 0.0000 1.8520 27.1130
Cr 1.6039 0.9260 2.2866
Cr 1.6039 0.9260 17.3131

3.
12
Lattice="3.0557 0.0000 0.0000 -1.5278 2.6463 0.0000 0.0000 0.0000 28.6521" Properties=species:S:1:pos:R:3 comment="KCu2Ag GGA-PBE relaxed" magmom_total_mub_per_cell=0.00 dos_ef_per_ev_cell=10.37 ef_ev_per_atom=0.578 vol_a3_per_atom=19.307 pbc="T T T"
K 0.0000 0.0000 0.0000
K 0.0000 1.7642 19.1014
K 1.5278 0.8821 9.5507
Cu 0.0000 0.0000 6.8069
Cu 0.0000 0.0000 21.8452
Cu 0.0000 1.7642 12.2945
Cu 0.0000 1.7642 25.9084
Cu 1.5278 0.8821 2.7438
Cu 1.5278 0.8821 16.3576
Ag 0.0000 0.0000 14.3261
Ag 0.0000 1.7642 4.7754
Ag 1.5278 0.8821 23.8768

4.
5
Lattice="4.7129 0.0000 0.0000 0.0000 4.7129 0.0000 0.0000 0.0000 4.7129" Properties=species:S:1:pos:R:3 comment="SnAsPd3 GGA-PBE relaxed" magmom_total_mub_per_cell=0.00 dos_ef_per_ev_cell=1.89 ef_ev_per_atom=-0.064 vol_a3_per_atom=20.936 pbc="T T T"
Sn 0.0000 0.0000 0.0000
As 2.3565 2.3565 2.3565
Pd 0.0000 2.3565 2.3565
Pd 2.3565 0.0000 2.3565
Pd 2.3565 2.3565 0.0000

5.
16
Lattice="7.1003 0.0000 0.0000 0.0000 7.1003 0.0000 0.0000 0.0000 7.1003" Properties=species:S:1:pos:R:3 comment="In2SiAs GGA-PBE relaxed" magmom_total_mub_per_cell=0.00 dos_ef_per_ev_cell=10.30 formation_energy_uncorrected_ev_per_atom=0.396 vol_a3_per_atom=22.372 pbc="T T T"
In 0.0000 0.0000 0.0000
In 0.0000 3.5502 3.5502
In 1.7751 1.7751 1.7751
In 1.7751 5.3252 5.3252
In 3.5502 0.0000 3.5502
In 3.5502 3.5502 0.0000
In 5.3252 1.7751 5.3252
In 5.3252 5.3252 1.7751
Si 0.0000 0.0000 3.5502
Si 0.0000 3.5502 0.0000
Si 3.5502 0.0000 0.0000
Si 3.5502 3.5502 3.5502
As 1.7751 1.7751 5.3252
As 1.7751 5.3252 1.7751
As 5.3252 1.7751 1.7751
As 5.3252 5.3252 5.3252

6.
16
Lattice="6.9599 0.0000 0.0000 0.0000 6.9599 0.0000 0.0000 0.0000 6.9599" Properties=species:S:1:pos:R:3 comment="NpAlZnHg GGA-PBE relaxed" magmom_total_mub_per_cell=16.86 dos_ef_per_ev_cell=32.70 ef_ev_per_atom=0.136 vol_a3_per_atom=21.071 pbc="T T T"
Np 0.0000 0.0000 0.0000
Np 0.0000 3.4799 3.4799
Np 3.4799 0.0000 3.4799
Np 3.4799 3.4799 0.0000
Al 0.0000 0.0000 3.4799
Al 0.0000 3.4799 0.0000
Al 3.4799 0.0000 0.0000
Al 3.4799 3.4799 3.4799
Zn 1.7400 1.7400 1.7400
Zn 1.7400 5.2199 5.2199
Zn 5.2199 1.7400 5.2199
Zn 5.2199 5.2199 1.7400
Hg 1.7400 1.7400 5.2199
Hg 1.7400 5.2199 1.7400
Hg 5.2199 1.7400 1.7400
Hg 5.2199 5.2199 5.2199

7.
18
Lattice="6.5759 0.0000 0.0000 0.0000 7.4764 0.0000 -6.3917 0.0000 9.2478" Properties=species:S:1:pos:R:3 comment="Sr2NiCl6 GGA-PBE relaxed" magmom_total_mub_per_cell=3.68 formation_energy_uncorrected_ev_per_atom=-1.834 vol_a3_per_atom=25.259 pbc="T T T"
Sr -0.1713 0.8052 2.3518
Sr -3.3672 2.9330 6.9757
Sr 3.5514 4.5433 2.2721
Sr 0.3555 6.6712 6.8961
Ni 3.2879 0.0000 0.0000
Ni 0.0921 3.7382 4.6239
Cl -5.1321 1.2059 8.7619
Cl -1.9363 2.5323 4.1380
Cl -4.1528 5.2836 8.7505
Cl -0.9569 5.9309 4.1265
Cl -2.4384 0.1738 6.9824
Cl 0.7575 3.5644 2.3585
Cl -0.5733 3.9120 6.8894
Cl 2.6226 7.3026 2.2655
Cl 1.1410 1.5455 5.1213
Cl 4.3369 2.1927 0.4974
Cl 2.1204 4.9441 5.1098
Cl 5.3163 6.2705 0.4859

8.
12
Lattice="4.2440 0.0000 0.0000 -2.1220 3.6755 0.0000 0.0000 0.0000 21.6650" Properties=species:S:1:pos:R:3 comment="SrMg2P GGA-PBE relaxed" magmom_total_mub_per_cell=0.00 dos_ef_per_ev_cell=5.43 ef_ev_per_atom=-0.372 vol_a3_per_atom=28.162 pbc="T T T"
Sr 0.0000 0.0000 0.0000
Sr 0.0000 2.4503 14.4433
Sr 2.1220 1.2251 7.2216
Mg 0.0000 0.0000 4.6171
Mg 0.0000 0.0000 9.9223
Mg 0.0000 2.4503 2.7007
Mg 0.0000 2.4503 19.0604
Mg 2.1220 1.2251 11.8387
Mg 2.1220 1.2251 17.1440
P 0.0000 0.0000 16.3202
P 0.0000 2.4503 9.0985
P 2.1220 1.2251 1.8769

9.
13
Lattice="3.7425 -10.0782 0.0000 3.7425 10.0782 0.0000 0.0000 0.0000 5.5007" Properties=species:S:1:pos:R:3 comment="Dy2Ho3Tm8 GGA-PBE relaxed" magmom_total_mub_per_cell=0.00 dos_ef_per_ev_cell=22.81 ef_ev_per_atom=0.250 vol_a3_per_atom=31.919 pbc="T T T"
Dy 3.7425 5.2134 0.0000
Dy 3.7425 -5.2134 0.0000
Ho 0.0000 0.0000 0.0000
Ho 2.1269 0.0000 2.7503
Ho 5.3580 0.0000 2.7503
Tm 3.7425 7.4054 2.7503
Tm 2.1457 2.1966 0.0000
Tm 3.7425 3.3400 2.7503
Tm 2.1457 -2.1966 0.0000
Tm 5.3392 2.1966 0.0000
Tm 3.7425 -3.3400 2.7503
Tm 5.3392 -2.1966 0.0000
Tm 3.7425 -7.4054 2.7503

10.
14
Lattice="1.9175 -4.2725 0.0000 1.9175 4.2725 0.0000 0.0000 0.0000 13.6821" Properties=species:S:1:pos:R:3 comment="AlPd2Pt4 GGA-PBE relaxed" magmom_total_mub_per_cell=0.00 dos_ef_per_ev_cell=18.48 ef_ev_per_atom=-0.238 vol_a3_per_atom=16.013 pbc="T T T"
Al 1.9175 4.1271 10.2615
Al 1.9175 -4.1271 3.4205
Pd 1.9175 1.6585 0.8135
Pd 1.9175 1.6585 6.0275
Pd 1.9175 -1.6585 7.6546
Pd 1.9175 -1.6585 12.8685
Pt 0.0000 0.0000 0.0000
Pt 0.0000 0.0000 6.8410
Pt 1.9175 1.7599 3.4205
Pt 1.9175 0.8539 8.8265
Pt 1.9175 0.8539 11.6966
Pt 1.9175 -0.8539 1.9855
Pt 1.9175 -0.8539 4.8556
Pt 1.9175 -1.7599 10.2615

11.
10
Lattice="3.4473 0.0000 0.0000 0.0000 24.1227 0.0000 0.0000 0.0000 3.3842" Properties=species:S:1:pos:R:3 comment="Y2Mg2Sc GGA-PBE relaxed" magmom_total_mub_per_cell=0.00 dos_ef_per_ev_cell=9.05 ef_ev_per_atom=0.040 vol_a3_per_atom=28.142 pbc="T T T"
Y 0.0000 2.3891 0.0000
Y 0.0000 21.7337 0.0000
Y 1.7237 9.6723 0.0000
Y 1.7237 14.4504 0.0000
Mg 0.0000 7.3161 1.6921
Mg 0.0000 16.8067 1.6921
Mg 1.7237 4.7453 1.6921
Mg 1.7237 19.3774 1.6921
Sc 0.0000 12.0614 1.6921
Sc 1.7237 0.0000 1.6921

12.
6
Lattice="3.6489 0.0000 0.0000 0.0000 3.6596 0.0000 -1.6990 0.0000 8.1836" Properties=species:S:1:pos:R:3 comment="LaFeN GGA-PBE relaxed" magmom_total_mub_per_cell=2.00 dos_ef_per_ev_cell=3.98 formation_energy_uncorrected_ev_per_atom=-0.511 vol_a3_per_atom=18.213 pbc="T T T"
La 0.0000 0.0000 0.0000
La 0.1279 1.8298 5.1544
Fe -0.0217 0.0000 2.7617
Fe 1.8217 1.8298 2.4366
N -0.0040 1.8298 2.3859
N 1.9539 1.8298 6.6723